1.
Below is a PBEsol-optimized structure of BaSbAu2, with properties calculated at the SCAN level.

Results
Volume, Å³ per cell: 116.0
Magnetization, μB per formula unit: 0.0
Crystal system: monoclinic
Raw formation energy, kcal/mol of atoms: -16.61
VASP energy, eV/cell: -218.005
Fermi-level density of states, states/eV per cell: 1.30

Cell lengths 4.7311, 4.7923, 5.1699 Å; angles 98.42, 90.00, 90.00 degrees
Sites, in units of the cell vectors:
Au1 0.0000 0.9683 0.9944
Au2 0.5000 0.9277 0.2626
Sb1 0.5000 0.1024 0.7767
Ba1 0.0000 0.5016 0.4663

---

2.
Below is a PBEsol-optimized structure of SrAlHg2, with properties calculated at the SCAN level.

Results
Volume, Å³ per cell: 105.8
Magnetization, μB per formula unit: 0.0
Crystal system: trigonal
Formation enthalpy at 0 K, meV/atom: -454
VASP energy, eV/cell: -168.175
Fermi-level density of states, states/eV per cell: 1.71

Cell lengths 4.5069, 4.5069, 6.5517 Å; angles 69.88, 69.88, 60.00 degrees
Sites, in units of the cell vectors:
Al1 0.3181 0.3181 0.0457
Hg1 0.9549 0.9549 0.1352
Hg2 0.7272 0.7272 0.8185
Sr1 0.5076 0.5076 0.4771

---

3.
Below is a PBEsol-optimized structure of BeFeSeN2, with properties calculated at the SCAN level.

Results
Volume, Å³ per cell: 62.3
Magnetization, μB per formula unit: 0.0
Crystal system: tetragonal
Raw formation energy, kcal/mol of atoms: 17.92
VASP energy, eV/cell: -57.258
Fermi-level density of states, states/eV per cell: 2.45

Cell lengths 3.4655, 3.4655, 5.1864 Å; angles 90.00, 90.00, 90.00 degrees
Sites, in units of the cell vectors:
N1 0.5000 0.0000 0.0000
N2 0.0000 0.5000 0.0000
Be1 0.5000 0.5000 0.5000
Fe1 0.0000 0.0000 0.0000
Se1 0.0000 0.0000 0.5000